Record 1
Material: LiHfGa
Method: DFT, PBE-GGA
State: optimized geometry

Structure (CIF):
```
data_LiHfGa
_chemical_formula_sum 'Li4 Hf4 Ga4'
_cell_length_a 5.9231
_cell_length_b 5.9231
_cell_length_c 5.9231
_cell_angle_alpha 90.00
_cell_angle_beta 90.00
_cell_angle_gamma 90.00
_space_group_name_H-M_alt 'F -4 3 m'
_space_group_IT_number 216
_space_group_name_Hall 'F -4 2 3'
loop_
_atom_site_label
_atom_site_type_symbol
_atom_site_fract_x
_atom_site_fract_y
_atom_site_fract_z
_atom_site_occupancy
Li1 Li 0.0000 0.0000 0.0000 1
Hf1 Hf 0.2500 0.2500 0.2500 1
Ga1 Ga 0.2500 0.2500 0.7500 1
```

## Properties
- ρ (g/cm3) = 8.16

Record 2
Material: LiHfGa2
Method: DFT, PBE-GGA
State: optimized geometry

Structure (CIF):
```
data_LiHfGa2
_chemical_formula_sum 'Li4 Hf4 Ga8'
_cell_length_a 6.4690
_cell_length_b 6.4690
_cell_length_c 6.4690
_cell_angle_alpha 90.00
_cell_angle_beta 90.00
_cell_angle_gamma 90.00
_space_group_name_H-M_alt 'F -4 3 m'
_space_group_IT_number 216
_space_group_name_Hall 'F -4 2 3'
loop_
_atom_site_label
_atom_site_type_symbol
_atom_site_fract_x
_atom_site_fract_y
_atom_site_fract_z
_atom_site_occupancy
Li1 Li 0.0000 0.0000 0.0000 1
Hf1 Hf 0.2500 0.2500 0.2500 1
Ga1 Ga 0.0000 0.0000 0.5000 1
Ga2 Ga 0.2500 0.2500 0.7500 1
```

## Properties
- ρ (g/cm3) = 7.97

Record 3
Material: Li2HfMgGa2Ni2
Method: DFT, PBE-GGA
State: optimized geometry

Structure (CIF):
```
data_Li2HfMgGa2Ni2
_chemical_formula_sum 'Li2 Hf1 Mg1 Ga2 Ni2'
_cell_length_a 4.2947
_cell_length_b 4.2947
_cell_length_c 6.0950
_cell_angle_alpha 90.00
_cell_angle_beta 90.00
_cell_angle_gamma 90.00
_space_group_name_H-M_alt 'P -4 m 2'
_space_group_IT_number 115
loop_
_space_group_symop_operation_xyz
'x,y,z'
'y,-x,-z'
'-x,-y,z'
'-y,x,-z'
'-x,y,z'
'-y,-x,-z'
'x,-y,z'
'y,x,-z'
loop_
_atom_site_label
_atom_site_type_symbol
_atom_site_fract_x
_atom_site_fract_y
_atom_site_fract_z
_atom_site_occupancy
Li1 Li 0.0000 0.5000 0.2321 1
Hf1 Hf 0.5000 0.5000 0.5000 1
Mg1 Mg 0.0000 0.0000 0.0000 1
Ga1 Ga 0.0000 0.0000 0.5000 1
Ga2 Ga 0.5000 0.5000 0.0000 1
Ni1 Ni 0.0000 0.5000 0.7387 1
```

## Properties
- ρ (g/cm3) = 6.99

Record 4
Material: Li2HfScGa2Ni2
Method: DFT, PBE-GGA
State: optimized geometry

Structure (CIF):
```
data_Li2HfScGa2Ni2
_chemical_formula_sum 'Li2 Hf1 Sc1 Ga2 Ni2'
_cell_length_a 4.3057
_cell_length_b 4.3057
_cell_length_c 6.0876
_cell_angle_alpha 90.00
_cell_angle_beta 90.00
_cell_angle_gamma 90.00
_space_group_name_H-M_alt 'P -4 m 2'
_space_group_IT_number 115
loop_
_space_group_symop_operation_xyz
'x,y,z'
'y,-x,-z'
'-x,-y,z'
'-y,x,-z'
'-x,y,z'
'-y,-x,-z'
'x,-y,z'
'y,x,-z'
loop_
_atom_site_label
_atom_site_type_symbol
_atom_site_fract_x
_atom_site_fract_y
_atom_site_fract_z
_atom_site_occupancy
Li1 Li 0.0000 0.5000 0.2490 1
Hf1 Hf 0.5000 0.5000 0.5000 1
Sc1 Sc 0.0000 0.0000 0.0000 1
Ga1 Ga 0.0000 0.0000 0.5000 1
Ga2 Ga 0.5000 0.5000 0.0000 1
Ni1 Ni 0.0000 0.5000 0.7486 1
```

## Properties
- ρ (g/cm3) = 7.27

Record 5
Material: Li2HfZnGa2Ni2
Method: DFT, PBE-GGA
State: optimized geometry

Structure (CIF):
```
data_Li2HfZnGa2Ni2
_chemical_formula_sum 'Li2 Hf1 Zn1 Ga2 Ni2'
_cell_length_a 4.2279
_cell_length_b 4.2279
_cell_length_c 6.0866
_cell_angle_alpha 90.00
_cell_angle_beta 90.00
_cell_angle_gamma 90.00
_space_group_name_H-M_alt 'P -4 m 2'
_space_group_IT_number 115
loop_
_space_group_symop_operation_xyz
'x,y,z'
'y,-x,-z'
'-x,-y,z'
'-y,x,-z'
'-x,y,z'
'-y,-x,-z'
'x,-y,z'
'y,x,-z'
loop_
_atom_site_label
_atom_site_type_symbol
_atom_site_fract_x
_atom_site_fract_y
_atom_site_fract_z
_atom_site_occupancy
Li1 Li 0.0000 0.5000 0.2164 1
Hf1 Hf 0.5000 0.5000 0.5000 1
Zn1 Zn 0.0000 0.0000 0.0000 1
Ga1 Ga 0.0000 0.0000 0.5000 1
Ga2 Ga 0.5000 0.5000 0.0000 1
Ni1 Ni 0.0000 0.5000 0.7485 1
```

## Properties
- ρ (g/cm3) = 7.85

Record 6
Material: Li2HfGa2PdPt2
Method: DFT, PBE-GGA
State: optimized geometry

Structure (CIF):
```
data_Li2HfGa2PdPt2
_chemical_formula_sum 'Li2 Hf1 Ga2 Pd1 Pt2'
_cell_length_a 4.4671
_cell_length_b 4.4671
_cell_length_c 6.1866
_cell_angle_alpha 90.00
_cell_angle_beta 90.00
_cell_angle_gamma 90.00
_space_group_name_H-M_alt 'P -4 m 2'
_space_group_IT_number 115
loop_
_space_group_symop_operation_xyz
'x,y,z'
'y,-x,-z'
'-x,-y,z'
'-y,x,-z'
'-x,y,z'
'-y,-x,-z'
'x,-y,z'
'y,x,-z'
loop_
_atom_site_label
_atom_site_type_symbol
_atom_site_fract_x
_atom_site_fract_y
_atom_site_fract_z
_atom_site_occupancy
Li1 Li 0.0000 0.5000 0.2081 1
Hf1 Hf 0.5000 0.5000 0.5000 1
Ga1 Ga 0.0000 0.0000 0.5000 1
Ga2 Ga 0.5000 0.5000 0.0000 1
Pd1 Pd 0.0000 0.0000 0.0000 1
Pt1 Pt 0.0000 0.5000 0.7302 1
```

## Properties
- ρ (g/cm3) = 11.14

no.,spin magnetization (Bohr magnetons per cell),raw total energy (eV per atom)
1,0.00,-4.810
2,0.32,-4.462
3,0.00,-4.439
4,0.00,-5.135
5,0.00,-4.401
6,0.00,-5.308